Mn3GeC (meta-GGA SCAN, single point on PBEsol structure); E = -84.13 eV/f.u.; spin magnetization = 3.34 μB per formula unit; DOS(E_F) = 3.59 states/eV per cell; energy relative to the elements = -0.18 eV per formula unit
1.0
3.745 0.000 0.000
0.000 3.745 0.000
0.000 0.000 3.745
Mn Ge C
3 1 1
direct
0.000 0.000 0.500
0.000 0.500 0.000
0.500 0.000 0.000
0.500 0.500 0.500
0.000 0.000 0.000